SmMnF: optimized geometry, PBE+U.

```
SmMnF
1.0
1.9243 1.1110 9.9670
-1.9243 1.1110 9.9670
0.0000 -2.2220 9.9670
Sm Mn F
2 2 2
Direct
0.1062 0.1062 0.1062
0.8938 0.8938 0.8938
0.3638 0.3638 0.3638
0.6362 0.6362 0.6362
0.1897 0.1897 0.1897
0.8103 0.8103 0.8103
```

Summary:
**Fermi-level density of states**: 2.76 states/eV/cell
**Density**: 5.83 g/cm³
**Final energy**: -6.04 eV/atom